# 1
Density functional theory data (PBE-GGA) for a relaxed TbBiCl6 crystal.

The structure in POSCAR format:
```
TbBiCl6
1.0
3.3621 -6.3964 0.0000
3.3621 6.3964 0.0000
-1.8798 0.0000 6.4615
Tb Bi Cl
1 1 6
direct
0.0000 0.0000 0.0000 Tb
0.5000 0.5000 0.5000 Bi
0.1038 0.3866 0.2451 Cl
0.2471 0.2471 0.7536 Cl
0.3866 0.1038 0.2451 Cl
0.6134 0.8962 0.7549 Cl
0.7529 0.7529 0.2464 Cl
0.8962 0.6134 0.7549 Cl
```

Computed properties:
As for the raw formation energy: -1.606 eV/atom. For the total magnetization, the calculation gives 0.00 μB per formula unit. Its crystal system is monoclinic. Its raw total energy is -32.44 eV per formula unit.

# 2
Density functional theory data (PBE-GGA) for a relaxed TcBiCl2 crystal.

The structure in POSCAR format:
```
TcBiCl2
1.0
-4.2447 4.2447 2.6544
4.2447 -4.2447 2.6544
4.2447 4.2447 -2.6544
Tc Bi Cl
2 2 4
direct
0.0000 0.0000 0.0000 Tc
0.7500 0.2500 0.5000 Tc
0.2500 0.7500 0.5000 Bi
0.5000 0.5000 0.0000 Bi
0.0010 0.1250 0.3760 Cl
0.3750 0.9990 0.1240 Cl
0.7490 0.6250 0.6240 Cl
0.8750 0.2510 0.8760 Cl
```

Computed properties:
As for the raw formation energy: 0.087 eV/atom. For the total magnetization, the calculation gives 0.00 μB per formula unit. Its crystal system is tetragonal. Its raw total energy is -17.59 eV per formula unit.

# 3
Density functional theory data (PBE-GGA) for a relaxed Tc2BiCl crystal.

The structure in POSCAR format:
```
Tc2BiCl
1.0
-2.9698 2.9698 5.1387
2.9698 -2.9698 5.1387
2.9698 2.9698 -5.1387
Tc Bi Cl
4 2 2
direct
0.0580 0.6250 0.9330 Tc
0.3750 0.3080 0.4330 Tc
0.6920 0.1250 0.0670 Tc
0.8750 0.9420 0.5670 Tc
0.2500 0.7500 0.5000 Bi
0.5000 0.5000 0.0000 Bi
0.0000 0.0000 0.0000 Cl
0.7500 0.2500 0.5000 Cl
```

Computed properties:
As for the raw formation energy: 1.030 eV/atom. For the total magnetization, the calculation gives 0.00 μB per formula unit. Its crystal system is tetragonal. Its raw total energy is -22.34 eV per formula unit.

# 4
Density functional theory data (PBE-GGA) for a relaxed TcBiCl2 crystal.

The structure in POSCAR format:
```
TcBiCl2
1.0
1.6778 0.9687 10.8337
-1.6778 0.9687 10.8337
0.0000 -1.9374 10.8337
Tc Bi Cl
1 1 2
direct
0.0000 0.0000 0.0000 Tc
0.5000 0.5000 0.5000 Bi
0.3793 0.3793 0.3793 Cl
0.6207 0.6207 0.6207 Cl
```

Computed properties:
As for the raw formation energy: 0.008 eV/atom. For the total magnetization, the calculation gives 1.02 μB per formula unit. Its crystal system is trigonal. Its raw total energy is -17.91 eV per formula unit.

# 5
Density functional theory data (PBE-GGA) for a relaxed Tc2BiCl crystal.

The structure in POSCAR format:
```
Tc2BiCl
1.0
0.0000 3.2816 3.2816
3.2816 0.0000 3.2816
3.2816 3.2816 0.0000
Tc Bi Cl
2 1 1
direct
0.2500 0.2500 0.2500 Tc
0.7500 0.7500 0.7500 Tc
0.0000 0.0000 0.0000 Bi
0.5000 0.5000 0.5000 Cl
```

Computed properties:
As for the raw formation energy: 0.923 eV/atom. For the total magnetization, the calculation gives 0.80 μB per formula unit. Its crystal system is cubic. Its raw total energy is -22.77 eV per formula unit.

# 6
Density functional theory data (PBE-GGA) for a relaxed TcBi2Cl crystal.

The structure in POSCAR format:
```
TcBi2Cl
1.0
0.0000 3.6076 3.6076
3.6076 0.0000 3.6076
3.6076 3.6076 0.0000
Tc Bi Cl
1 2 1
direct
0.0000 0.0000 0.0000 Tc
0.2500 0.2500 0.2500 Bi
0.7500 0.7500 0.7500 Bi
0.5000 0.5000 0.5000 Cl
```

Computed properties:
As for the raw formation energy: 0.503 eV/atom. For the total magnetization, the calculation gives 2.05 μB per formula unit. Its crystal system is cubic. Its raw total energy is -17.96 eV per formula unit.

# 7
Density functional theory data (PBE-GGA) for a relaxed TcBi2Cl crystal.

The structure in POSCAR format:
```
TcBi2Cl
1.0
-3.2963 3.2963 6.4247
3.2963 -3.2963 6.4247
3.2963 3.2963 -6.4247
Tc Bi Cl
2 4 2
direct
0.0000 0.0000 0.0000 Tc
0.7500 0.2500 0.5000 Tc
0.0576 0.6250 0.9326 Bi
0.3750 0.3076 0.4326 Bi
0.6924 0.1250 0.0674 Bi
0.8750 0.9424 0.5674 Bi
0.2500 0.7500 0.5000 Cl
0.5000 0.5000 0.0000 Cl
```

Computed properties:
As for the raw formation energy: 0.436 eV/atom. For the total magnetization, the calculation gives 0.00 μB per formula unit. Its crystal system is tetragonal. Its raw total energy is -18.23 eV per formula unit.

# 8
Density functional theory data (PBE-GGA) for a relaxed Tc3BiCl crystal.

The structure in POSCAR format:
```
Tc3BiCl
1.0
5.2371 0.0000 0.0000
0.0000 5.2371 0.0000
0.0000 0.0000 5.2371
Tc Bi Cl
3 1 1
direct
0.0000 0.0000 0.5000 Tc
0.0000 0.5000 0.0000 Tc
0.5000 0.0000 0.0000 Tc
0.0000 0.0000 0.0000 Bi
0.5000 0.5000 0.5000 Cl
```

Computed properties:
As for the raw formation energy: 2.273 eV/atom. For the total magnetization, the calculation gives 8.70 μB per formula unit. Its crystal system is cubic. Its raw total energy is -25.46 eV per formula unit.

# 9
Density functional theory data (PBE-GGA) for a relaxed Tc3BiCl crystal.

The structure in POSCAR format:
```
Tc3BiCl
1.0
4.4858 0.0000 0.0000
0.0000 4.4858 0.0000
0.0000 0.0000 4.4858
Tc Bi Cl
3 1 1
direct
0.0000 0.0000 0.5000 Tc
0.0000 0.5000 0.0000 Tc
0.5000 0.0000 0.0000 Tc
0.5000 0.5000 0.5000 Bi
0.0000 0.0000 0.0000 Cl
```

Computed properties:
As for the raw formation energy: 1.142 eV/atom. For the total magnetization, the calculation gives 1.10 μB per formula unit. Its crystal system is cubic. Its raw total energy is -31.12 eV per formula unit.

# 10
Density functional theory data (PBE-GGA) for a relaxed Tc2BiWCl crystal.

The structure in POSCAR format:
```
Tc2BiWCl
1.0
5.0020 0.0000 0.0000
0.0000 5.0020 0.0000
0.0000 0.0000 4.9857
Tc Bi W Cl
2 1 1 1
direct
0.0000 0.5000 0.0000 Tc
0.5000 0.0000 0.0000 Tc
0.0000 0.0000 0.0000 Bi
0.5000 0.5000 0.5000 W
0.0000 0.0000 0.5000 Cl
```

Computed properties:
As for the raw formation energy: 2.804 eV/atom. For the total magnetization, the calculation gives 0.00 μB per formula unit. Its crystal system is tetragonal. Its raw total energy is -25.39 eV per formula unit.

# 11
Density functional theory data (PBE-GGA) for a relaxed Bi3TeCl crystal.

The structure in POSCAR format:
```
Bi3TeCl
1.0
5.5521 0.0000 0.0000
0.0000 5.5521 0.0000
0.0000 0.0000 5.5521
Bi Te Cl
3 1 1
direct
0.0000 0.0000 0.5000 Bi
0.0000 0.5000 0.0000 Bi
0.5000 0.0000 0.0000 Bi
0.5000 0.5000 0.5000 Te
0.0000 0.0000 0.0000 Cl
```

Computed properties:
As for the raw formation energy: 0.605 eV/atom. For the total magnetization, the calculation gives 0.00 μB per formula unit. Its crystal system is cubic. Its raw total energy is -13.61 eV per formula unit.

# 12
Density functional theory data (PBE-GGA) for a relaxed Bi2Te2Cl crystal.

The structure in POSCAR format:
```
Bi2Te2Cl
1.0
-2.9527 2.9527 5.0094
2.9527 -2.9527 5.0094
2.9527 2.9527 -5.0094
Bi Te Cl
2 2 1
direct
0.1583 0.1583 0.0000 Bi
0.8417 0.8417 0.0000 Bi
0.2500 0.7500 0.5000 Te
0.7500 0.2500 0.5000 Te
0.5000 0.5000 0.0000 Cl
```

Computed properties:
As for the raw formation energy: -0.183 eV/atom. For the total magnetization, the calculation gives 0.00 μB per formula unit. Its crystal system is tetragonal. Its raw total energy is -16.81 eV per formula unit.

# 13
Density functional theory data (PBE-GGA) for a relaxed BiTeCl6 crystal.

The structure in POSCAR format:
```
BiTeCl6
1.0
6.6038 0.0000 0.0000
3.2202 6.1008 0.0000
0.0826 3.4407 6.3373
Bi Te Cl
1 1 6
direct
0.0000 0.0000 0.0000 Bi
0.5000 0.0000 0.5000 Te
0.1077 0.5314 0.2350 Cl
0.2641 0.8288 0.7417 Cl
0.4208 0.8487 0.2546 Cl
0.5792 0.1513 0.7454 Cl
0.7359 0.1712 0.2583 Cl
0.8923 0.4686 0.7650 Cl
```

Computed properties:
As for the raw formation energy: -0.636 eV/atom. For the total magnetization, the calculation gives 0.00 μB per formula unit. Its crystal system is triclinic. Its raw total energy is -23.19 eV per formula unit.